SCAN HfSc2Tl2, single point on PBEsol structure; calculated density = 9.16 g/cm³; energy of formation = 0.34 eV/atom
1.0
4.267 0.000 0.000
0.000 4.267 0.000
0.000 0.000 13.483
Hf Sc Tl
2 4 4
Direct
0.000 0.000 0.000
0.500 0.500 0.500
0.000 0.000 0.400
0.000 0.000 0.600
0.500 0.500 0.100
0.500 0.500 0.900
0.000 0.500 0.250
0.000 0.500 0.750
0.500 0.000 0.250
0.500 0.000 0.750

=====

SCAN Hf23Se25, single point on PBEsol structure; calculated density = 10.80 g/cm³; uncorrected formation energy = -1.26 eV/atom
1.0
7.824 0.000 0.000
-1.665 7.733 0.000
-0.066 -2.255 15.453
Hf Se
23 25
Direct
0.000 0.000 0.000
0.027 0.192 0.647
0.073 0.397 0.282
0.114 0.598 0.921
0.157 0.797 0.564
0.230 0.193 0.844
0.280 0.399 0.478
0.311 0.593 0.122
0.354 0.796 0.760
0.401 0.004 0.404
0.432 0.196 0.039
0.514 0.596 0.323
0.555 0.797 0.961
0.591 0.993 0.602
0.638 0.192 0.245
0.678 0.400 0.884
0.713 0.596 0.520
0.747 0.792 0.167
0.796 0.996 0.802
0.830 0.195 0.441
0.878 0.397 0.085
0.918 0.591 0.726
0.949 0.793 0.363
0.031 0.668 0.203
0.068 0.862 0.842
0.109 0.066 0.484
0.149 0.258 0.125
0.196 0.463 0.762
0.227 0.669 0.402
0.268 0.862 0.045
0.310 0.067 0.682
0.344 0.259 0.319
0.389 0.463 0.961
0.428 0.658 0.604
0.458 0.862 0.242
0.508 0.065 0.881
0.548 0.264 0.527
0.585 0.456 0.162
0.625 0.661 0.801
0.667 0.863 0.443
0.709 0.061 0.083
0.738 0.261 0.722
0.788 0.462 0.362
0.829 0.668 0.005
0.866 0.855 0.643
0.915 0.064 0.282
0.947 0.265 0.923
0.989 0.460 0.563

=====

SCAN Hf2Se, single point on PBEsol structure; calculated density = 11.96 g/cm³; uncorrected formation energy = -0.88 eV/atom
1.0
3.392 0.000 0.000
-1.696 2.938 0.000
0.000 0.000 12.146
Hf Se
4 2
Direct
0.333 0.667 0.094
0.333 0.667 0.406
0.667 0.333 0.594
0.667 0.333 0.906
0.000 0.000 0.250
0.000 0.000 0.750

=====

SCAN Hf2Se3, single point on PBEsol structure; calculated density = 9.14 g/cm³; uncorrected formation energy = -1.38 eV/atom
1.0
5.486 -3.163 0.000
5.486 3.163 0.000
-3.680 0.000 12.434
Hf Se
8 12
Direct
0.002 0.172 0.268
0.082 0.918 0.500
0.172 0.002 0.768
0.249 0.413 0.000
0.413 0.249 0.500
0.580 0.751 0.000
0.751 0.580 0.500
0.918 0.082 0.000
0.038 0.556 0.369
0.126 0.297 0.633
0.206 0.685 0.868
0.297 0.126 0.133
0.389 0.854 0.368
0.464 0.623 0.633
0.556 0.038 0.869
0.623 0.464 0.133
0.685 0.206 0.368
0.789 0.961 0.633
0.854 0.389 0.868
0.961 0.789 0.133

=====

SCAN HfSi2Se, single point on PBEsol structure; calculated density = 7.28 g/cm³; uncorrected formation energy = 0.21 eV/atom
1.0
7.319 0.000 0.000
0.000 7.319 0.000
0.000 0.000 5.343
Hf Si Se
4 8 4
Direct
0.000 0.000 0.000
0.000 0.500 0.250
0.500 0.000 0.750
0.500 0.500 0.500
0.245 0.750 0.625
0.250 0.245 0.375
0.250 0.255 0.875
0.255 0.750 0.125
0.745 0.250 0.125
0.750 0.745 0.875
0.750 0.755 0.375
0.755 0.250 0.625
0.000 0.000 0.500
0.000 0.500 0.750
0.500 0.000 0.250
0.500 0.500 0.000

=====

SCAN HfTiSi2Se, single point on PBEsol structure; calculated density = 5.58 g/cm³; uncorrected formation energy = 0.73 eV/atom
1.0
4.671 0.000 0.000
0.000 4.671 0.000
0.000 0.000 4.932
Hf Ti Si Se
1 1 2 1
Direct
0.000 0.000 0.000
0.000 0.000 0.500
0.000 0.500 0.500
0.500 0.000 0.500
0.500 0.500 0.000

=====

SCAN HfSnSe2, single point on PBEsol structure; calculated density = 6.34 g/cm³; uncorrected formation energy = -0.31 eV/atom
1.0
6.867 0.000 0.000
0.000 6.867 0.000
0.000 0.000 10.111
Hf Sn Se
4 4 8
Direct
0.000 0.000 0.000
0.000 0.500 0.250
0.500 0.000 0.750
0.500 0.500 0.500
0.000 0.000 0.500
0.000 0.500 0.750
0.500 0.000 0.250
0.500 0.500 0.000
0.199 0.750 0.125
0.250 0.199 0.875
0.250 0.301 0.375
0.301 0.750 0.625
0.699 0.250 0.625
0.750 0.699 0.375
0.750 0.801 0.875
0.801 0.250 0.125

=====

SCAN HfTaSe2, single point on PBEsol structure; calculated density = 10.51 g/cm³; uncorrected formation energy = -0.27 eV/atom
1.0
3.292 0.000 0.000
-1.646 2.851 0.000
0.000 0.000 26.125
Hf Ta Se
3 3 6
Direct
0.000 0.000 0.000
0.333 0.667 0.667
0.667 0.333 0.333
0.000 0.000 0.500
0.333 0.667 0.167
0.667 0.333 0.833
0.000 0.000 0.403
0.000 0.000 0.597
0.333 0.667 0.070
0.333 0.667 0.263
0.667 0.333 0.737
0.667 0.333 0.930

=====

SCAN Hf2TeSe, single point on PBEsol structure; calculated density = 8.86 g/cm³; uncorrected formation energy = -0.22 eV/atom
1.0
5.107 0.000 0.000
0.000 5.107 0.000
0.000 0.000 16.199
Hf Te Se
8 4 4
Direct
0.197 0.250 0.125
0.250 0.697 0.375
0.250 0.803 0.875
0.303 0.250 0.625
0.697 0.750 0.625
0.750 0.197 0.875
0.750 0.303 0.375
0.803 0.750 0.125
0.000 0.000 0.500
0.000 0.500 0.750
0.500 0.000 0.250
0.500 0.500 0.000
0.000 0.000 0.000
0.000 0.500 0.250
0.500 0.000 0.750
0.500 0.500 0.500

=====

SCAN HfTeSe3, single point on PBEsol structure; calculated density = 6.55 g/cm³; E above lowest polymorph = 0.9833 eV per atom; uncorrected formation energy = 0.72 eV/atom
1.0
5.162 0.000 0.000
0.000 5.162 0.000
0.000 0.000 5.162
Hf Te Se
1 1 3
Direct
0.000 0.000 0.000
0.500 0.500 0.500
0.000 0.500 0.500
0.500 0.000 0.500
0.500 0.500 0.000

=====

SCAN HfTeSe3, single point on PBEsol structure; calculated density = 6.85 g/cm³; E above lowest polymorph = 0.0000 eV per atom; uncorrected formation energy = -0.26 eV/atom
1.0
5.087 0.000 0.000
0.000 5.087 0.000
0.000 0.000 5.087
Hf Te Se
1 1 3
Direct
0.000 0.000 0.000
0.500 0.500 0.500
0.000 0.000 0.500
0.000 0.500 0.000
0.500 0.000 0.000

=====

SCAN HfTiSe2, single point on PBEsol structure; calculated density = 7.68 g/cm³; E above lowest polymorph = 0.2618 eV per atom; uncorrected formation energy = -0.70 eV/atom
1.0
3.366 0.000 0.000
-1.683 2.915 0.000
0.000 0.000 25.387
Hf Ti Se
3 3 6
Direct
0.000 0.000 0.000
0.333 0.667 0.667
0.667 0.333 0.333
0.000 0.000 0.500
0.333 0.667 0.167
0.667 0.333 0.833
0.000 0.000 0.103
0.000 0.000 0.897
0.333 0.667 0.564
0.333 0.667 0.770
0.667 0.333 0.230
0.667 0.333 0.436

=====

Number 1: electronic total energy -468.32 eV per cell. Number 2: electronic total energy -2004.02 eV per cell. Number 3: electronic total energy -296.11 eV per cell. Number 4: electronic total energy -769.98 eV per cell. Number 5: electronic total energy -407.76 eV per cell. Number 6: electronic total energy -115.17 eV per cell. Number 7: electronic total energy -559.90 eV per cell. Number 8: electronic total energy -511.52 eV per cell. Number 9: electronic total energy -734.17 eV per cell. Number 10: electronic total energy -156.56 eV per cell. Number 11: electronic total energy -161.47 eV per cell. Number 12: electronic total energy -365.01 eV per cell.